Record 1
VASP calculation (GGA-PBE) on a relaxed structure of Tb2Er3In4.

- Crystal system: orthorhombic
- VASP energy: -4.024 eV/atom
- Energy of formation from the pure elements: -257.3 meV per atom
- ΔE to the lowest computed polymorph: 128 kJ/mol of formula units
- Mass density: 8.2 g/cm3
- DOS(E_F): 13.231 states/eV per cell

a b c (Å): 7.0099 9.1520 8.8235
angles (deg): 90.00 113.41 90.00
With the nearest neighbours (Å) after each atom.
Positions (direct):
Tb (0.1107, 0.5716, 0.2214)  3 In 3.26-3.43
Tb (0.8893, 0.4284, 0.7786)  3 In 3.26-3.43
Tb (0.3893, 0.0716, 0.7786)  3 In 3.26-3.43
Tb (0.6107, 0.9284, 0.2214)  3 In 3.26-3.43
Er (0.0000, 0.0000, 0.0000)  6 In 2.91-3.05
Er (0.5000, 0.5000, 0.0000)  6 In 2.91-3.05
Er (0.5359, 0.7500, 0.5718)  5 In 3.04-3.21
Er (0.9641, 0.2500, 0.4282)  5 In 3.04-3.21
Er (0.4641, 0.2500, 0.4282)  5 In 3.04-3.21
Er (0.0359, 0.7500, 0.5718)  5 In 3.04-3.21
In (0.7239, 0.7500, 0.9478)  3 Er 2.91-3.04
In (0.7761, 0.2500, 0.0522)  3 Er 2.91-3.04
In (0.2761, 0.2500, 0.0522)  3 Er 2.91-3.04
In (0.2239, 0.7500, 0.9478)  3 Er 2.91-3.04
In (0.1873, 0.9606, 0.3746)  5 Er 3.05-3.21
In (0.8127, 0.0394, 0.6254)  5 Er 3.05-3.21
In (0.3127, 0.4606, 0.6254)  5 Er 3.05-3.21
In (0.6873, 0.5394, 0.3746)  5 Er 3.05-3.21


Record 2
VASP calculation (GGA-PBE) on a relaxed structure of TbEr6In5.

- Crystal system: orthorhombic
- VASP energy: -4.179 eV/atom
- Energy of formation from the pure elements: -370.9 meV per atom
- Mass density: 8.9 g/cm3
- DOS(E_F): 11.674 states/eV per cell

a b c (Å): 4.9364 8.7539 8.9990
angles (deg): 119.10 105.92 90.00
With the nearest neighbours (Å) after each atom.
Positions (direct):
In (0.6518, 0.1518, 0.3036)  8 Er 3.29-3.39, 2 Tb 3.35, 2 In 3.55
In (0.3225, 0.3225, 0.6450)  8 Er 3.23-3.31, 2 In 3.55
In (0.0000, 0.5000, 0.0000)  8 Er 3.17-3.27
In (0.6775, 0.6775, 0.3550)  8 Er 3.23-3.31, 2 In 3.55
In (0.3482, 0.8482, 0.6964)  8 Er 3.29-3.39, 2 Tb 3.35, 2 In 3.55
Tb (0.0000, 0.0000, 0.0000)  4 In 3.35, 8 Er 3.42-3.43
Er (0.8303, 0.5671, 0.6606)  7 In 3.23-3.39, 1 Tb 3.42, 4 Er 3.45-3.54
Er (0.8303, 0.0935, 0.6606)  7 In 3.23-3.39, 1 Tb 3.42, 4 Er 3.45-3.54
Er (0.5000, 0.7274, 0.0000)  6 In 3.17-3.31, 2 Tb 3.43, 4 Er 3.54
Er (0.5000, 0.2726, 0.0000)  6 In 3.17-3.31, 2 Tb 3.43, 4 Er 3.54
Er (0.1697, 0.9065, 0.3394)  7 In 3.23-3.39, 1 Tb 3.42, 4 Er 3.45-3.54
Er (0.1697, 0.4329, 0.3394)  7 In 3.23-3.39, 1 Tb 3.42, 4 Er 3.45-3.54


Record 3
VASP calculation (GGA-PBE) on a relaxed structure of TbErIn6.

- Crystal system: tetragonal
- VASP energy: -3.609 eV/atom
- Energy of formation from the pure elements: -406.5 meV per atom
- Mass density: 8.5 g/cm3
- DOS(E_F): 2.895 states/eV per cell

a b c (Å): 4.6330 4.6330 9.2670
angles (deg): 90.00 90.00 90.00
With the nearest neighbours (Å) after each atom.
Positions (direct):
Tb (0.0000, 0.0000, 0.0000)  12 In 3.28-3.29
Er (0.0000, 0.0000, 0.5000)  12 In 3.26-3.28
In (0.5000, 0.5000, 0.0000)  4 Tb 3.28, 8 In 3.29
In (0.5000, 0.5000, 0.5000)  8 In 3.26, 4 Er 3.28
In (0.5000, 0.0000, 0.2517)  8 In 3.26-3.29, 2 Er 3.26, 2 Tb 3.29
In (0.5000, 0.0000, 0.7483)  8 In 3.26-3.29, 2 Er 3.26, 2 Tb 3.29
In (0.0000, 0.5000, 0.2517)  8 In 3.26-3.29, 2 Er 3.26, 2 Tb 3.29
In (0.0000, 0.5000, 0.7483)  8 In 3.26-3.29, 2 Er 3.26, 2 Tb 3.29


Record 4
VASP calculation (GGA-PBE) on a relaxed structure of Tb3Er4In4.

- Crystal system: orthorhombic
- VASP energy: -4.122 eV/atom
- Energy of formation from the pure elements: -204.3 meV per atom
- Mass density: 8.1 g/cm3
- DOS(E_F): 11.229 states/eV per cell

a b c (Å): 4.8108 8.2874 9.5406
angles (deg): 115.74 104.60 90.00
With the nearest neighbours (Å) after each atom.
Positions (direct):
Tb (0.1167, 0.1167, 0.2335)  6 In 3.42-3.68, 4 Er 3.55
Tb (0.8833, 0.8833, 0.7665)  6 In 3.42-3.68, 4 Er 3.55
Tb (0.0000, 0.5000, 0.0000)  6 In 3.54-3.58
Er (0.3285, 0.1238, 0.6571)  4 In 2.99-3.09
Er (0.6715, 0.4667, 0.3429)  4 In 2.99-3.09
Er (0.6715, 0.8762, 0.3429)  4 In 2.99-3.09
Er (0.3285, 0.5333, 0.6571)  4 In 2.99-3.09
In (0.2147, 0.7147, 0.4293)  6 Er 3.03-3.09
In (0.7853, 0.2853, 0.5707)  6 Er 3.03-3.09
In (0.5000, 0.8198, 0.0000)  2 Er 2.99, 1 In 2.99
In (0.5000, 0.1802, 0.0000)  2 Er 2.99, 1 In 2.99


Record 5
VASP calculation (GGA-PBE) on a relaxed structure of Tb5ErIn4.

- Crystal system: tetragonal
- VASP energy: -4.246 eV/atom
- Energy of formation from the pure elements: -378.9 meV per atom
- Mass density: 8.5 g/cm3
- DOS(E_F): 7.575 states/eV per cell

a b c (Å): 3.5794 3.5794 21.7622
angles (deg): 90.00 90.00 90.00
With the nearest neighbours (Å) after each atom.
Positions (direct):
Tb (0.5000, 0.5000, 0.1136)  4 In 3.28, 4 Er 3.54, 4 Tb 3.58
Tb (0.5000, 0.5000, 0.3063)  8 In 3.29-3.30, 4 Tb 3.58
Tb (0.5000, 0.5000, 0.5000)  8 In 3.29, 4 Tb 3.58
Tb (0.5000, 0.5000, 0.6937)  8 In 3.29-3.30, 4 Tb 3.58
Tb (0.5000, 0.5000, 0.8864)  4 In 3.28, 4 Er 3.54, 4 Tb 3.58
Er (0.0000, 0.0000, 0.0000)  8 Tb 3.54, 4 Er 3.58
In (0.0000, 0.0000, 0.2098)  8 Tb 3.28-3.29, 4 In 3.58
In (0.0000, 0.0000, 0.4032)  8 Tb 3.29-3.30, 4 In 3.58
In (0.0000, 0.0000, 0.5968)  8 Tb 3.29-3.30, 4 In 3.58
In (0.0000, 0.0000, 0.7902)  8 Tb 3.28-3.29, 4 In 3.58


Record 6
VASP calculation (GGA-PBE) on a relaxed structure of Tb3ErIn3.

- Crystal system: cubic
- VASP energy: -4.124 eV/atom
- Energy of formation from the pure elements: -313.7 meV per atom
- ΔE to the lowest computed polymorph: 4 kJ/mol of formula units
- Mass density: 8.1 g/cm3
- DOS(E_F): 35.302 states/eV per cell

a b c (Å): 9.3226 9.3226 9.3226
angles (deg): 90.00 90.00 90.00
With the nearest neighbours (Å) after each atom.
Positions (direct):
Tb (0.8259, 0.3259, 0.1741)  6 In 3.15-3.32
Tb (0.9291, 0.9291, 0.9291)  6 In 3.15-3.31
Tb (0.8247, 0.6753, 0.3247)  6 In 3.14-3.34
Tb (0.1741, 0.8259, 0.3259)  6 In 3.15-3.32
Tb (0.1753, 0.1753, 0.1753)  6 In 3.14-3.34
Tb (0.3247, 0.8247, 0.6753)  6 In 3.14-3.34
Tb (0.0709, 0.4291, 0.5709)  6 In 3.15-3.31
Tb (0.3259, 0.1741, 0.8259)  6 In 3.15-3.32
Tb (0.6753, 0.3247, 0.8247)  6 In 3.14-3.34
Tb (0.6741, 0.6741, 0.6741)  6 In 3.15-3.32
Tb (0.5709, 0.0709, 0.4291)  6 In 3.15-3.31
Tb (0.4291, 0.5709, 0.0709)  6 In 3.15-3.31
Er (0.0774, 0.5774, 0.9226)  6 In 3.13-3.29
Er (0.9226, 0.0774, 0.5774)  6 In 3.13-3.29
Er (0.4226, 0.4226, 0.4226)  6 In 3.13-3.29
Er (0.5774, 0.9226, 0.0774)  6 In 3.13-3.29
In (0.7544, 0.6275, 0.9985)  2 Er 3.13-3.29, 6 Tb 3.14-3.34
In (0.8725, 0.0015, 0.2544)  2 Er 3.13-3.29, 6 Tb 3.14-3.34
In (0.9985, 0.7544, 0.6275)  2 Er 3.13-3.29, 6 Tb 3.14-3.34
In (0.1275, 0.5015, 0.2456)  2 Er 3.13-3.29, 6 Tb 3.14-3.34
In (0.2456, 0.1275, 0.5015)  2 Er 3.13-3.29, 6 Tb 3.14-3.34
In (0.2544, 0.8725, 0.0015)  2 Er 3.13-3.29, 6 Tb 3.14-3.34
In (0.0015, 0.2544, 0.8725)  2 Er 3.13-3.29, 6 Tb 3.14-3.34
In (0.3725, 0.4985, 0.7456)  2 Er 3.13-3.29, 6 Tb 3.14-3.34
In (0.5015, 0.2456, 0.1275)  2 Er 3.13-3.29, 6 Tb 3.14-3.34
In (0.6275, 0.9985, 0.7544)  2 Er 3.13-3.29, 6 Tb 3.14-3.34
In (0.7456, 0.3725, 0.4985)  2 Er 3.13-3.29, 6 Tb 3.14-3.34
In (0.4985, 0.7456, 0.3725)  2 Er 3.13-3.29, 6 Tb 3.14-3.34


Record 7
VASP calculation (GGA-PBE) on a relaxed structure of Tb2ErIn3.

- Crystal system: tetragonal
- VASP energy: -4.139 eV/atom
- Energy of formation from the pure elements: -466.0 meV per atom
- Mass density: 8.7 g/cm3
- DOS(E_F): 3.438 states/eV per cell

a b c (Å): 3.5615 3.5615 12.5280
angles (deg): 90.00 90.00 90.00
With the nearest neighbours (Å) after each atom.
Positions (direct):
Tb (0.5000, 0.5000, 0.8320)  8 In 3.28, 4 Tb 3.56
Tb (0.5000, 0.5000, 0.1680)  8 In 3.28, 4 Tb 3.56
Er (0.5000, 0.5000, 0.5000)  8 In 3.25, 4 Er 3.56
In (0.0000, 0.0000, 0.0000)  8 Tb 3.28, 4 In 3.56
In (0.0000, 0.0000, 0.6641)  4 Er 3.25, 4 Tb 3.28, 4 In 3.56
In (0.0000, 0.0000, 0.3359)  4 Er 3.25, 4 Tb 3.28, 4 In 3.56


Record 8
VASP calculation (GGA-PBE) on a relaxed structure of TbEr2In4.

- Crystal system: tetragonal
- VASP energy: -3.846 eV/atom
- Energy of formation from the pure elements: -316.1 meV per atom
- Mass density: 7.8 g/cm3
- DOS(E_F): 5.709 states/eV per cell

a b c (Å): 6.4010 6.4010 6.4010
angles (deg): 110.79 108.82 108.82
With the nearest neighbours (Å) after each atom.
Positions (direct):
In (0.5000, 0.0000, 0.0000)  2 Tb 3.20, 4 Er 3.20
In (0.5000, 0.5000, 0.5000)  2 Tb 3.20, 4 Er 3.20
In (0.0000, 0.0000, 0.5000)  4 Er 3.20, 2 Tb 3.20
In (0.0000, 0.5000, 0.0000)  4 Er 3.20, 2 Tb 3.20
Tb (0.0000, 0.0000, 0.0000)  8 In 3.20
Er (0.5000, 0.5000, 0.0000)  8 In 3.20
Er (0.5000, 0.0000, 0.5000)  8 In 3.20


Record 9
VASP calculation (GGA-PBE) on a relaxed structure of TbEr5In3.

- Crystal system: hexagonal
- VASP energy: -4.313 eV/atom
- Energy of formation from the pure elements: -350.9 meV per atom
- Mass density: 8.9 g/cm3
- DOS(E_F): 19.344 states/eV per cell

a b c (Å): 6.6874 9.2780 9.2776
angles (deg): 120.00 90.00 90.00
With the nearest neighbours (Å) after each atom.
Positions (direct):
Tb (0.0000, 0.0000, 0.0000)  2 Tb 3.34, 6 Er 3.51, 6 In 3.53
Tb (0.5000, 0.0000, 0.0000)  2 Tb 3.34, 6 Er 3.51, 6 In 3.53
Er (0.0000, 0.6667, 0.3333)  8 Er 3.34-3.52, 6 In 3.51
Er (0.5000, 0.3333, 0.6667)  8 Er 3.34-3.52, 6 In 3.51
Er (0.0000, 0.3333, 0.6667)  8 Er 3.34-3.52, 6 In 3.51
Er (0.5000, 0.6667, 0.3333)  8 Er 3.34-3.52, 6 In 3.51
Er (0.7500, 0.6672, 0.6672)  5 In 3.08-3.34
Er (0.7500, 0.0000, 0.3328)  5 In 3.08-3.34
Er (0.7500, 0.3328, 0.0000)  5 In 3.08-3.34
Er (0.2500, 0.3328, 0.3328)  5 In 3.08-3.34
Er (0.2500, 0.0000, 0.6672)  5 In 3.08-3.34
Er (0.2500, 0.6672, 0.0000)  5 In 3.08-3.34
In (0.7500, 0.3351, 0.3351)  5 Er 3.08-3.34
In (0.7500, 0.0000, 0.6649)  5 Er 3.08-3.34
In (0.7500, 0.6648, 0.0000)  5 Er 3.08-3.34
In (0.2500, 0.6649, 0.6649)  5 Er 3.08-3.34
In (0.2500, 0.0000, 0.3351)  5 Er 3.08-3.34
In (0.2500, 0.3352, 0.0000)  5 Er 3.08-3.34


Record 10
VASP calculation (GGA-PBE) on a relaxed structure of Tb15Er2In2.

- Crystal system: trigonal
- VASP energy: -4.268 eV/atom
- Energy of formation from the pure elements: 156.4 meV per atom
- Mass density: 8.1 g/cm3
- DOS(E_F): 23.744 states/eV per cell

a b c (Å): 8.5610 8.5610 8.5610
angles (deg): 79.92 79.92 79.92
With the nearest neighbours (Å) after each atom.
Positions (direct):
Tb (0.0000, 0.5000, 0.0000)  8 Tb 3.28-3.31, 2 In 3.41
Tb (0.0000, 0.0000, 0.5000)  8 Tb 3.28-3.31, 2 In 3.41
Tb (0.5000, 0.0000, 0.0000)  8 Tb 3.28-3.31, 2 In 3.41
Tb (0.2921, 0.0000, 0.7079)  6 Tb 3.21-3.31
Tb (0.7079, 0.2921, 0.0000)  6 Tb 3.21-3.31
Tb (0.0000, 0.7079, 0.2921)  6 Tb 3.21-3.31
Tb (0.2921, 0.7079, 0.0000)  6 Tb 3.21-3.31
Tb (0.0000, 0.2921, 0.7079)  6 Tb 3.21-3.31
Tb (0.7079, 0.0000, 0.2921)  6 Tb 3.21-3.31
Tb (0.3702, 0.8502, 0.3702)  6 Tb 3.22-3.28
Tb (0.3702, 0.3702, 0.8502)  6 Tb 3.22-3.28
Tb (0.8502, 0.3702, 0.3702)  6 Tb 3.22-3.28
Tb (0.6298, 0.1498, 0.6298)  6 Tb 3.22-3.28
Tb (0.6298, 0.6298, 0.1498)  6 Tb 3.22-3.28
Tb (0.1498, 0.6298, 0.6298)  6 Tb 3.22-3.28
Er (0.6819, 0.6819, 0.6819)  1 In 3.84, 15 Tb 3.91-4.11
Er (0.3181, 0.3181, 0.3181)  1 In 3.84, 15 Tb 3.91-4.11
In (0.9048, 0.9048, 0.9048)  1 In 3.28, 9 Tb 3.41-3.61
In (0.0952, 0.0952, 0.0952)  1 In 3.28, 9 Tb 3.41-3.61